# 1
## Sr3Li5Cd6 (GGA-PBE)

Data for a relaxed structure of Sr3Li5Cd6.

Computed properties:
- Calculated formation energy: -0.24 eV/atom
- Size of the total moment: 0.0000 μB/atom

Cell lengths 4.861, 10.313, 14.458 Å; angles 90.00, 90.00, 90.00 degrees
Fractional positions:
Sr  0.000  0.246  0.694
Sr  0.500  0.754  0.194
Sr  0.500  0.754  0.806
Sr  0.000  0.257  0.000
Sr  0.500  0.743  0.500
Sr  0.000  0.246  0.306
Li  0.000  0.537  0.875
Li  0.000  0.894  0.677
Li  0.000  0.758  0.000
Li  0.500  0.463  0.625
Li  0.500  0.242  0.500
Li  0.000  0.537  0.125
Li  0.500  0.463  0.375
Li  0.000  0.894  0.323
Li  0.500  0.106  0.823
Li  0.500  0.106  0.177
Cd  0.000  0.975  0.871
Cd  0.500  0.025  0.629
Cd  0.500  0.398  0.825
Cd  0.500  0.553  0.000
Cd  0.000  0.447  0.500
Cd  0.000  0.602  0.675
Cd  0.000  0.602  0.325
Cd  0.500  0.968  0.000
Cd  0.000  0.975  0.129
Cd  0.500  0.398  0.175
Cd  0.000  0.032  0.500
Cd  0.500  0.025  0.371



# 2
## SrLi2Cd (GGA-PBE)

Data for a relaxed structure of SrLi2Cd.

Computed properties:
- Calculated formation energy: -0.09 eV/atom
- Size of the total moment: 0.0000 μB/atom

Cell lengths 3.776, 3.777, 7.516 Å; angles 90.00, 90.00, 90.00 degrees
Fractional positions:
Sr  0.500  0.500  0.250
Li  0.000  0.000  0.931
Li  0.000  0.000  0.569
Cd  0.500  0.500  0.750



# 3
## Sr2Li7Cd (GGA-PBE)

Data for a relaxed structure of Sr2Li7Cd.

Computed properties:
- Calculated formation energy: -0.02 eV/atom
- Size of the total moment: 0.0000 μB/atom
- Distance to the lowest polymorph of the same formula: 0.000 eV per atom

Cell lengths 4.947, 4.947, 11.156 Å; angles 90.00, 90.00, 90.00 degrees
Fractional positions:
Sr  0.500  0.000  0.762
Sr  0.000  0.500  0.238
Li  0.000  0.500  0.886
Li  0.500  0.000  0.366
Li  0.500  0.000  0.114
Li  0.000  0.500  0.634
Li  0.000  0.000  0.500
Li  0.000  0.000  0.000
Li  0.500  0.500  0.500
Cd  0.500  0.500  0.000



# 4
## SrLi17Cd (GGA-PBE)

Data for a relaxed structure of SrLi17Cd.

Computed properties:
- Calculated formation energy: 0.01 eV/atom
- Size of the total moment: 0.0000 μB/atom

Cell lengths 7.622, 7.622, 7.622 Å; angles 76.64, 76.64, 76.64 degrees
Fractional positions:
Sr  0.661  0.661  0.661
Li  0.302  0.021  0.686
Li  0.686  0.302  0.021
Li  0.021  0.686  0.302
Li  0.302  0.686  0.021
Li  0.021  0.302  0.686
Li  0.686  0.021  0.302
Li  0.324  0.943  0.324
Li  0.324  0.324  0.943
Li  0.943  0.324  0.324
Li  0.594  0.236  0.594
Li  0.594  0.594  0.236
Li  0.236  0.594  0.594
Li  0.968  0.542  0.968
Li  0.968  0.968  0.542
Li  0.542  0.968  0.968
Li  0.917  0.917  0.917
Li  0.083  0.083  0.083
Cd  0.328  0.328  0.328



# 5
## Sr4Li5Cd (GGA-PBE)

Data for a relaxed structure of Sr4Li5Cd.

Computed properties:
- Calculated formation energy: -0.05 eV/atom
- Size of the total moment: 0.0000 μB/atom

Cell lengths 5.808, 8.220, 8.220 Å; angles 82.81, 69.37, 69.37 degrees
Fractional positions:
Sr  0.846  0.708  0.708
Sr  0.555  0.292  0.708
Sr  0.555  0.708  0.292
Sr  0.263  0.292  0.292
Li  0.211  0.665  0.000
Li  0.211  0.000  0.665
Li  0.878  0.000  0.335
Li  0.878  0.335  0.000
Li  0.290  0.000  0.000
Cd  0.802  0.000  0.000



# 6
## SrLi2Cd (GGA-PBE)

Data for a relaxed structure of SrLi2Cd.

Computed properties:
- Calculated formation energy: -0.14 eV/atom
- Size of the total moment: 0.0000 μB/atom

Cell lengths 6.189, 6.189, 6.189 Å; angles 45.73, 45.73, 45.73 degrees
Fractional positions:
Sr  0.250  0.250  0.250
Li  0.045  0.045  0.045
Li  0.455  0.455  0.455
Cd  0.750  0.750  0.750



# 7
## SrLi4Cd (GGA-PBE)

Data for a relaxed structure of SrLi4Cd.

Computed properties:
- Calculated formation energy: -0.08 eV/atom
- Size of the total moment: 0.0000 μB/atom
- Distance to the lowest polymorph of the same formula: 0.000 eV per atom

Cell lengths 4.504, 8.111, 8.627 Å; angles 90.00, 90.00, 90.00 degrees
Fractional positions:
Sr  0.000  0.618  0.750
Sr  0.000  0.382  0.250
Li  0.000  0.000  0.500
Li  0.000  0.000  0.000
Li  0.500  0.976  0.750
Li  0.500  0.024  0.250
Li  0.500  0.710  0.063
Li  0.500  0.290  0.937
Li  0.500  0.710  0.437
Li  0.500  0.290  0.563
Cd  0.000  0.209  0.750
Cd  0.000  0.791  0.250



# 8
## Sr3LiCd4 (GGA-PBE)

Data for a relaxed structure of Sr3LiCd4.

Computed properties:
- Calculated formation energy: -0.27 eV/atom
- Size of the total moment: 0.0000 μB/atom

Cell lengths 3.879, 3.879, 15.991 Å; angles 90.00, 90.00, 90.00 degrees
Fractional positions:
Sr  0.500  0.500  0.234
Sr  0.500  0.500  0.500
Sr  0.500  0.500  0.766
Cd  0.000  0.000  0.906
Cd  0.000  0.000  0.094
Cd  0.000  0.000  0.367
Cd  0.000  0.000  0.633
Li  0.500  0.500  0.000



# 9
## Sr2Li16Cd (GGA-PBE)

Data for a relaxed structure of Sr2Li16Cd.

Computed properties:
- Calculated formation energy: -0.02 eV/atom
- Size of the total moment: 0.0000 μB/atom

Cell lengths 7.708, 7.708, 7.708 Å; angles 83.88, 83.88, 83.88 degrees
Fractional positions:
Sr  0.657  0.657  0.657
Sr  0.347  0.347  0.347
Li  0.721  0.999  0.278
Li  0.999  0.278  0.721
Li  0.278  0.721  0.999
Li  0.999  0.721  0.278
Li  0.721  0.278  0.999
Li  0.278  0.999  0.721
Li  0.347  0.860  0.347
Li  0.860  0.347  0.347
Li  0.347  0.347  0.860
Li  0.656  0.135  0.656
Li  0.135  0.656  0.656
Li  0.656  0.656  0.135
Li  0.995  0.510  0.995
Li  0.510  0.995  0.995
Li  0.995  0.995  0.510
Li  0.097  0.097  0.097
Cd  0.904  0.904  0.904



# 10
## Sr3Li4Cd4 (GGA-PBE)

Data for a relaxed structure of Sr3Li4Cd4.

Computed properties:
- Calculated formation energy: -0.22 eV/atom
- Size of the total moment: 0.0000 μB/atom

Cell lengths 5.006, 7.737, 9.266 Å; angles 114.68, 105.67, 90.00 degrees
Fractional positions:
Sr  0.129  0.129  0.258
Sr  0.871  0.871  0.742
Sr  0.000  0.500  0.000
Li  0.327  0.138  0.654
Li  0.673  0.483  0.346
Li  0.673  0.862  0.346
Li  0.327  0.517  0.654
Cd  0.216  0.716  0.431
Cd  0.784  0.284  0.569
Cd  0.500  0.811  0.000
Cd  0.500  0.189  0.000



# 11
## Sr2Li21Cd6 (GGA-PBE)

Data for a relaxed structure of Sr2Li21Cd6.

Computed properties:
- Calculated formation energy: -0.06 eV/atom
- Size of the total moment: 0.0000 μB/atom

Cell lengths 9.845, 9.845, 9.845 Å; angles 60.00, 60.00, 60.00 degrees
Fractional positions:
Sr  0.750  0.750  0.750
Sr  0.250  0.250  0.250
Li  0.000  0.000  0.000
Li  0.609  0.609  0.174
Li  0.609  0.609  0.609
Li  0.609  0.174  0.609
Li  0.174  0.609  0.609
Li  0.391  0.391  0.826
Li  0.391  0.391  0.391
Li  0.391  0.826  0.391
Li  0.826  0.391  0.391
Li  0.649  0.000  0.351
Li  0.000  0.649  0.351
Li  0.000  0.000  0.351
Li  0.000  0.649  0.000
Li  0.649  0.000  0.000
Li  0.000  0.000  0.649
Li  0.000  0.351  0.000
Li  0.000  0.351  0.649
Li  0.649  0.351  0.000
Li  0.351  0.000  0.649
Li  0.351  0.000  0.000
Li  0.351  0.649  0.000
Cd  0.261  0.739  0.261
Cd  0.739  0.261  0.261
Cd  0.739  0.739  0.261
Cd  0.739  0.261  0.739
Cd  0.261  0.739  0.739
Cd  0.261  0.261  0.739



# 12
## SrLi2Cd (GGA-PBE)

Data for a relaxed structure of SrLi2Cd.

Computed properties:
- Calculated formation energy: -0.17 eV/atom
- Size of the total moment: 0.0000 μB/atom

Cell lengths 6.128, 6.128, 10.493 Å; angles 73.02, 73.02, 60.00 degrees
Fractional positions:
Sr  0.857  0.857  0.429
Sr  0.143  0.143  0.571
Sr  0.000  0.000  0.000
Li  0.425  0.425  0.238
Li  0.912  0.425  0.238
Li  0.425  0.912  0.238
Li  0.575  0.575  0.762
Li  0.575  0.088  0.762
Li  0.088  0.575  0.762
Cd  0.669  0.669  0.994
Cd  0.331  0.331  0.006
Cd  0.500  0.500  0.500



# 13
## SrLi10Cd (GGA-PBE)

Data for a relaxed structure of SrLi10Cd.

Computed properties:
- Calculated formation energy: 0.03 eV/atom
- Size of the total moment: 0.0000 μB/atom

Cell lengths 4.820, 5.695, 10.091 Å; angles 90.00, 90.00, 90.00 degrees
Fractional positions:
Sr  0.000  0.000  0.000
Li  0.000  0.000  0.357
Li  0.000  0.500  0.794
Li  0.000  0.500  0.206
Li  0.000  0.000  0.643
Li  0.500  0.000  0.500
Li  0.500  0.500  0.000
Li  0.500  0.260  0.274
Li  0.500  0.740  0.726
Li  0.500  0.740  0.274
Li  0.500  0.260  0.726
Cd  0.000  0.500  0.500



# 14
## Sr2LiCd (GGA-PBE)

Data for a relaxed structure of Sr2LiCd.

Computed properties:
- Calculated formation energy: -0.01 eV/atom
- Size of the total moment: 0.0000 μB/atom

Cell lengths 5.666, 5.666, 5.666 Å; angles 60.00, 60.00, 60.00 degrees
Fractional positions:
Cd  0.500  0.500  0.500
Li  0.750  0.750  0.750
Sr  0.000  0.000  0.000
Sr  0.250  0.250  0.250



# 15
## Sr6LiCd (GGA-PBE)

Data for a relaxed structure of Sr6LiCd.

Computed properties:
- Calculated formation energy: -0.08 eV/atom
- Size of the total moment: 0.0000 μB/atom

Cell lengths 5.911, 5.911, 11.072 Å; angles 74.52, 74.52, 90.00 degrees
Fractional positions:
Sr  0.749  0.749  0.502
Sr  0.598  0.098  0.805
Sr  0.098  0.598  0.805
Sr  0.402  0.902  0.195
Sr  0.251  0.251  0.498
Sr  0.902  0.402  0.195
Li  0.500  0.500  0.000
Cd  0.000  0.000  0.000



# 16
## Sr6LiCd2 (GGA-PBE)

Data for a relaxed structure of Sr6LiCd2.

Computed properties:
- Calculated formation energy: -0.13 eV/atom
- Size of the total moment: 0.0000 μB/atom

Cell lengths 10.053, 10.053, 10.053 Å; angles 104.42, 112.32, 111.80 degrees
Fractional positions:
Sr  0.539  0.722  0.817
Sr  0.461  0.278  0.183
Sr  0.096  0.278  0.817
Sr  0.904  0.722  0.183
Sr  0.803  0.752  0.555
Sr  0.197  0.248  0.445
Sr  0.197  0.752  0.950
Sr  0.803  0.248  0.050
Sr  0.695  0.365  0.670
Sr  0.305  0.635  0.330
Sr  0.305  0.976  0.670
Sr  0.695  0.024  0.330
Li  0.000  0.500  0.500
Li  0.000  0.000  0.000
Cd  0.500  0.379  0.879
Cd  0.500  0.621  0.121
Cd  0.669  0.000  0.669
Cd  0.331  0.000  0.331



# 17
## Sr5LiCd4 (GGA-PBE)

Data for a relaxed structure of Sr5LiCd4.

Computed properties:
- Calculated formation energy: -0.27 eV/atom
- Size of the total moment: 0.0000 μB/atom

Cell lengths 4.053, 4.053, 20.777 Å; angles 90.00, 90.00, 90.00 degrees
Fractional positions:
Sr  0.500  0.500  0.107
Sr  0.500  0.500  0.303
Sr  0.500  0.500  0.500
Sr  0.500  0.500  0.697
Sr  0.500  0.500  0.893
Li  0.000  0.000  0.000
Cd  0.000  0.000  0.202
Cd  0.000  0.000  0.402
Cd  0.000  0.000  0.598
Cd  0.000  0.000  0.798



# 18
## SrLi4Cd (GGA-PBE)

Data for a relaxed structure of SrLi4Cd.

Computed properties:
- Calculated formation energy: -0.07 eV/atom
- Size of the total moment: 0.0001 μB/atom
- Distance to the lowest polymorph of the same formula: 0.005 eV per atom

Cell lengths 5.833, 5.833, 5.833 Å; angles 60.00, 60.00, 60.00 degrees
Fractional positions:
Cd  0.000  0.000  0.000
Li  0.628  0.116  0.628
Li  0.116  0.628  0.628
Li  0.628  0.628  0.628
Li  0.628  0.628  0.116
Sr  0.250  0.250  0.250



# 19
## Sr3Li2Cd9 (GGA-PBE)

Data for a relaxed structure of Sr3Li2Cd9.

Computed properties:
- Calculated formation energy: -0.29 eV/atom
- Size of the total moment: 0.0000 μB/atom

Cell lengths 4.956, 9.286, 9.286 Å; angles 66.94, 74.52, 74.52 degrees
Fractional positions:
Sr  0.000  0.000  0.000
Sr  0.706  0.294  0.294
Sr  0.294  0.706  0.706
Li  0.500  0.312  0.688
Li  0.500  0.688  0.312
Cd  0.000  0.500  0.500
Cd  0.661  0.984  0.695
Cd  0.339  0.016  0.305
Cd  0.661  0.695  0.984
Cd  0.339  0.305  0.016
Cd  0.871  0.843  0.416
Cd  0.129  0.157  0.584
Cd  0.871  0.416  0.843
Cd  0.129  0.584  0.157



# 20
## Sr2LiCd (GGA-PBE)

Data for a relaxed structure of Sr2LiCd.

Computed properties:
- Calculated formation energy: 0.00 eV/atom
- Size of the total moment: 0.0003 μB/atom

Cell lengths 4.227, 4.227, 10.601 Å; angles 78.50, 78.50, 60.00 degrees
Fractional positions:
Sr  0.078  0.078  0.767
Sr  0.255  0.255  0.234
Li  0.501  0.501  0.498
Cd  0.666  0.666  0.001